Compound: Li3MnVP2H2O10
Source: Alexandria
Functional: PBE with a Hubbard U
Structure: relaxed

density	2.98	g cm⁻³
calculated total energy	-126.78	eV for the cell shown
SG	P1

Lattice parameters (Å, degrees): 5.3113 5.4651 7.6014 106.35 108.78 96.32
Each line ends with the local moment (μB).
Fractional positions:
Li 0.5136 0.1677 0.8668  0.00
Li 0.7413 0.3922 0.6754  0.00
Li 0.2002 0.5742 0.1468  0.00
O 0.0995 0.6252 0.8683  0.02
O 0.8734 0.3459 0.1330  0.02
O 0.7427 0.2269 0.4012  0.00
O 0.6989 0.6671 0.3622  0.00
O 0.3347 0.3500 0.6677  0.00
O 0.8305 0.0580 0.7149  -0.01
O 0.3862 0.2666 0.0954  0.01
O 0.6095 0.7653 0.9402  0.02
O 0.1675 0.9320 0.2945  -0.01
O 0.2711 0.8112 0.6464  0.00
H 0.6669 0.9157 0.6405  0.00
H 0.3549 0.0374 0.3483  0.01
P 0.3265 0.6370 0.7815  0.01
P 0.6828 0.3790 0.2506  0.01
Mn 0.0033 0.9933 0.0105  4.66
V 0.0064 0.9982 0.5025  1.94